Entry 1:
A plane-wave DFT calculation with GGA-PBE was carried out for a relaxed NdSm2Y6Ho2 crystal.

The calculation puts the total magnetization at 0.00 μB per cell. For the total energy, the calculation gives -5.4970 eV per atom. Its formation energy is 14.73 kJ/mol of atoms.

The space group is C2/m (No. 12) and the conventional cell measures 5.7125, 12.0496 and 10.6438 Å, with angles of 90.00, 90.10 and 90.00 degrees. Symmetry generates all atoms from Nd at (0.0000, 0.0000, 0.0000), Sm at (0.0000, 0.3651, 0.5000), Y at (0.0011, 0.1536, 0.7088), Y at (0.0011, 0.5000, 0.7900) and Ho at (0.0000, 0.2965, 0.0000).



Entry 2:
A plane-wave DFT calculation with GGA-PBE was carried out for a relaxed Nd4Sm2YHo2 crystal.

The calculation puts the total magnetization at 0.00 μB per cell. For the total energy, the calculation gives -4.8838 eV per atom. Its formation energy is 1.87 kJ/mol of atoms.

The space group is C2/m (No. 12) and the conventional cell measures 15.4085, 5.1305 and 8.0833 Å, with angles of 90.00, 108.57 and 90.00 degrees. Symmetry generates all atoms from Nd at (0.0548, 0.0000, 0.3315), Nd at (0.2224, 0.5000, 0.3310), Sm at (0.1117, 0.5000, 0.6691), Y at (0.0000, 0.5000, 0.0000) and Ho at (0.1673, 0.0000, 0.9997).



Entry 3:
A plane-wave DFT calculation with GGA-PBE was carried out for a relaxed NdSm2YHo2 crystal.

The calculation puts the total magnetization at 0.00 μB per cell. For the total energy, the calculation gives -4.7037 eV per atom. Its formation energy is 25.78 kJ/mol of atoms.

The space group is Pnnm (No. 58) and the conventional cell measures 6.6228, 17.9703 and 3.4097 Å, with angles of 90.00, 90.00 and 90.00 degrees. Symmetry generates all atoms from Nd at (0.0000, 0.0000, 0.0000), Sm at (0.2295, 0.3142, 0.0000), Y at (0.0000, 0.5000, 0.0000) and Ho at (0.2283, 0.1478, 0.5000).



Entry 4:
A plane-wave DFT calculation with GGA-PBE was carried out for a relaxed NdSm3Y6Ho2 crystal.

The calculation puts the total magnetization at 0.00 μB per cell. For the total energy, the calculation gives -5.5557 eV per atom. Its formation energy is 1.58 kJ/mol of atoms.

The space group is C2/m (No. 12) and the conventional cell measures 6.2164, 10.7592 and 11.8592 Å, with angles of 90.00, 100.01 and 90.00 degrees. Symmetry generates all atoms from Nd at (0.0000, 0.0000, 0.0000), Sm at (0.0000, 0.1669, 0.5000), Sm at (0.0000, 0.5000, 0.5000), Y at (0.2492, 0.5000, 0.2489), Y at (0.2503, 0.1670, 0.2489) and Ho at (0.0000, 0.3333, 0.0000).



Entry 5:
A plane-wave DFT calculation with GGA-PBE was carried out for a relaxed Nd2SmY6Ho3 crystal.

The calculation puts the total magnetization at 0.00 μB per cell. For the total energy, the calculation gives -5.5452 eV per atom. Its formation energy is 1.85 kJ/mol of atoms.

The space group is C2/m (No. 12) and the conventional cell measures 6.2121, 10.7517 and 11.8472 Å, with angles of 90.00, 100.02 and 90.00 degrees. Symmetry generates all atoms from Nd at (0.0000, 0.1665, 0.0000), Sm at (0.0000, 0.5000, 0.0000), Y at (0.2484, 0.5000, 0.7464), Y at (0.2488, 0.1666, 0.7466), Ho at (0.0000, 0.0000, 0.5000) and Ho at (0.0000, 0.3334, 0.5000).



Entry 6:
A plane-wave DFT calculation with GGA-PBE was carried out for a relaxed NdSmYHo3 crystal.

The calculation puts the total magnetization at 0.00 μB per cell. For the total energy, the calculation gives -4.9257 eV per atom. Its formation energy is 2.09 kJ/mol of atoms.

The space group is Cmcm (No. 63) and the conventional cell measures 5.0578, 15.1754 and 10.1221 Å, with angles of 90.00, 90.00 and 90.00 degrees. Symmetry generates all atoms from Nd at (0.0000, 0.0000, 0.0000), Sm at (0.0000, 0.4990, 0.2500), Y at (0.0000, 0.1680, 0.2500), Ho at (0.0000, 0.1675, 0.7500) and Ho at (0.0000, 0.3319, 0.0001).



Entry 7:
A plane-wave DFT calculation with GGA-PBE was carried out for a relaxed NdSmHoZn crystal.

The calculation puts the total magnetization at 0.00 μB per cell. Its energy above the lowest structure with this stoichiometry is 0.187 eV per atom. For the total energy, the calculation gives -3.8045 eV per atom. Its formation energy is 2.91 kJ/mol of atoms.

The space group is F-43m (No. 216) and the conventional cell measures 7.6651, 7.6651 and 7.6651 Å, with angles of 90.00, 90.00 and 90.00 degrees. Symmetry generates all atoms from Nd at (0.0000, 0.0000, 0.0000), Sm at (0.0000, 0.0000, 0.5000), Ho at (0.2500, 0.2500, 0.7500) and Zn at (0.2500, 0.2500, 0.2500).



Entry 8:
A plane-wave DFT calculation with GGA-PBE was carried out for a relaxed NdSmHoZn crystal.

The calculation puts the total magnetization at 0.00 μB per cell. Its energy above the lowest structure with this stoichiometry is 0.000 eV per atom. For the total energy, the calculation gives -3.9919 eV per atom. Its formation energy is -15.17 kJ/mol of atoms.

The space group is P4mm (No. 99) and the conventional cell measures 3.6152, 3.6152 and 8.7478 Å, with angles of 90.00, 90.00 and 90.00 degrees. Symmetry generates all atoms from Nd at (0.0000, 0.0000, 0.0000), Sm at (0.5000, 0.5000, 0.6989), Ho at (0.5000, 0.5000, 0.2916) and Zn at (0.0000, 0.0000, 0.4844).